A plane-wave DFT calculation with PBE was carried out for a relaxed TaZnAu2 crystal.

The space group is Imm2 (No. 44) and the conventional cell measures 2.840, 4.984 and 9.842 Å, with angles of 90.00, 90.00 and 90.00 degrees. The distinct sites, in fractional coordinates, are Ta at (0.000, 0.000, 0.000), Zn at (0.000, 0.500, 0.746), Au at (0.000, 0.000, 0.483) and Au at (0.000, 0.500, 0.247).

As for the theoretical density: 15.3 Mg/m³.

***

A plane-wave DFT calculation with PBE was carried out for a relaxed TaZnAu2 crystal.

The space group is Pm (No. 6) and the conventional cell measures 2.797, 4.592 and 5.422 Å, with angles of 90.00, 90.89 and 90.00 degrees. The distinct sites, in fractional coordinates, are Ta at (0.000, 0.000, 0.000), Zn at (0.523, 0.500, 0.266), Au at (0.485, 0.500, 0.789) and Au at (0.501, 0.000, 0.487).

As for the theoretical density: 15.3 Mg/m³.

***

A plane-wave DFT calculation with PBE was carried out for a relaxed TaZn2Au crystal.

The space group is Immm (No. 71) and the conventional cell measures 2.779, 5.071 and 9.586 Å, with angles of 90.00, 90.00 and 90.00 degrees. The distinct sites, in fractional coordinates, are Ta at (0.000, 0.000, 0.000), Zn at (0.000, 0.500, 0.245) and Au at (0.000, 0.000, 0.500).

The value obtained for the distance to the lowest polymorph of the same formula is 0.62 eV/f.u. As for the theoretical density: 12.5 Mg/m³.

***

no.,energy of formation (kJ per mole of atoms)
1,3.4
2,-0.6
3,6.8